# 1
The following is a DFT calculation (PBEsol) of AlBr2 after structural relaxation.

Unit cell a=4.5293 b=4.5293 c=8.6606 alpha=90.00 beta=90.00 gamma=120.00
Closest atoms and distances in Å follow each position.
Space group P6_3/mmc (No. 194)
Unique sites:
Al 0.3333 0.6667 0.2500 (multiplicity 2)  3 Br 2.62
Br 0.0000 0.0000 0.0000 (multiplicity 2)  6 Br 3.40, 6 Al 3.40
Br 0.3333 0.6667 0.7500 (multiplicity 2)  3 Al 2.62

D(E_F), states/eV per atom: 0.388
Crystal system: hexagonal
Polymorph energy (0 for the lowest one), meV per atom: 645

# 2
The following is a DFT calculation (PBEsol) of AlBr2 after structural relaxation.

Unit cell a=13.4893 b=3.4425 c=8.4478 alpha=90.00 beta=109.38 gamma=90.00
Closest atoms and distances in Å follow each position.
Space group C2/m (No. 12)
Unique sites:
Al 0.0038 0.0000 0.1530 (multiplicity 4)  4 Br 2.52, 1 Al 2.55
Br 0.1244 0.5000 0.8148 (multiplicity 4)  2 Al 2.52
Br 0.1378 0.5000 0.3073 (multiplicity 4)  2 Al 2.52

D(E_F), states/eV per atom: 0.000
Crystal system: monoclinic
Polymorph energy (0 for the lowest one), meV per atom: 0

# 3
The following is a DFT calculation (PBEsol) of AlBr3 after structural relaxation.

Unit cell a=7.2305 b=7.3261 c=10.4739 alpha=90.00 beta=95.17 gamma=90.00
Closest atoms and distances in Å follow each position.
Space group P2_1/c (No. 14)
Unique sites:
Al 0.2061 0.0911 0.0463 (multiplicity 4)  4 Br 2.25-2.45
Br 0.0860 0.5653 0.3536 (multiplicity 4)  2 Al 2.41-2.45
Br 0.2531 0.1109 0.5103 (multiplicity 4)  1 Al 2.25
Br 0.4159 0.5800 0.6650 (multiplicity 4)  1 Al 2.25

D(E_F), states/eV per atom: 0.000
Crystal system: monoclinic

# 4
The following is a DFT calculation (PBEsol) of AlBr2 after structural relaxation.

Unit cell a=6.5092 b=6.5092 c=3.7264 alpha=90.00 beta=90.00 gamma=90.00
Closest atoms and distances in Å follow each position.
Space group P4_2/mnm (No. 136)
Unique sites:
Al 0.0000 0.0000 0.0000 (multiplicity 2)  6 Br 2.65-2.70
Br 0.2125 0.2125 0.5000 (multiplicity 4)  3 Al 2.65-2.70

D(E_F), states/eV per atom: 0.362
Crystal system: tetragonal
Polymorph energy (0 for the lowest one), meV per atom: 228

# 5
The following is a DFT calculation (PBEsol) of AlBr after structural relaxation.

Unit cell a=5.7738 b=5.7738 c=11.1491 alpha=90.00 beta=90.00 gamma=120.00
Closest atoms and distances in Å follow each position.
Space group R-3m (No. 166, hexagonal axes)
Unique sites:
Al 0.0000 0.0000 0.1316 (multiplicity 6)  1 Br 2.48
Br 0.0000 0.0000 0.3540 (multiplicity 6)  1 Al 2.48

D(E_F), states/eV per atom: 0.114
Crystal system: trigonal

# 6
The following is a DFT calculation (PBEsol) of AlBr after structural relaxation.

Unit cell a=3.5231 b=3.5231 c=8.6854 alpha=90.00 beta=90.00 gamma=120.00
Closest atoms and distances in Å follow each position.
Space group P6_3/mmc (No. 194)
Unique sites:
Al 0.3333 0.6667 0.2500 (multiplicity 2)  6 Br 2.98
Br 0.0000 0.0000 0.0000 (multiplicity 2)  6 Al 2.98

D(E_F), states/eV per atom: 0.222
Crystal system: hexagonal

# 7
The following is a DFT calculation (PBEsol) of AlBr after structural relaxation.

Unit cell a=4.8553 b=4.0436 c=5.9445 alpha=90.00 beta=113.30 gamma=90.00
Closest atoms and distances in Å follow each position.
Space group P2_1/m (No. 11)
Unique sites:
Al 0.1954 0.2500 0.0682 (multiplicity 2)  1 Br 2.53, 2 Al 2.67
Br 0.3647 0.2500 0.7173 (multiplicity 2)  1 Al 2.53

D(E_F), states/eV per atom: 0.096
Crystal system: monoclinic

# 8
The following is a DFT calculation (PBEsol) of Al3Br4 after structural relaxation.

Unit cell a=6.0768 b=6.0768 c=5.2320 alpha=90.00 beta=90.00 gamma=120.00
Closest atoms and distances in Å follow each position.
Space group P6/mmm (No. 191)
Unique sites:
Al 0.0000 0.5000 0.0000 (multiplicity 3)  4 Al 3.04, 8 Br 3.15-3.31
Br 0.0000 0.0000 0.2527 (multiplicity 2)  2 Br 2.59-2.64
Br 0.3333 0.6667 0.5000 (multiplicity 2)  6 Al 3.15, 3 Br 3.51

D(E_F), states/eV per atom: 0.348
Crystal system: hexagonal

# 9
The following is a DFT calculation (PBEsol) of AlBr after structural relaxation.

Unit cell a=6.9313 b=6.9313 c=6.9313 alpha=90.00 beta=90.00 gamma=90.00
Closest atoms and distances in Å follow each position.
Space group F-43m (No. 216)
Unique sites:
Al 0.0000 0.0000 0.0000 (multiplicity 4)  4 Br 3.00
Br 0.2500 0.2500 0.2500 (multiplicity 4)  4 Al 3.00

Crystal system: cubic

# 10
The following is a DFT calculation (PBEsol) of AlBr after structural relaxation.

Unit cell a=7.2990 b=7.2990 c=7.2990 alpha=90.00 beta=90.00 gamma=90.00
Closest atoms and distances in Å follow each position.
Space group Fd-3m (No. 227, origin choice 2)
Unique sites:
Al 0.1250 0.1250 0.1250 (multiplicity 8)  4 Al 3.16, 4 Br 3.16
Br 0.1250 0.1250 0.6250 (multiplicity 8)  4 Br 3.16, 4 Al 3.16

D(E_F), states/eV per atom: 0.099
Crystal system: cubic

# 11
The following is a DFT calculation (PBEsol) of AlBr3 after structural relaxation.

Unit cell a=5.0658 b=13.3511 c=3.5723 alpha=90.00 beta=90.00 gamma=90.00
Closest atoms and distances in Å follow each position.
Space group Cmmm (No. 65)
Unique sites:
Al 0.0000 0.0000 0.0000 (multiplicity 2)  6 Br 2.49-2.53
Br 0.0000 0.1299 0.5000 (multiplicity 4)  2 Al 2.49
Br 0.0000 0.5000 0.0000 (multiplicity 2)  2 Al 2.53

D(E_F), states/eV per atom: 0.000
Crystal system: orthorhombic

# 12
The following is a DFT calculation (PBEsol) of AlC2Br after structural relaxation.

Unit cell a=4.8040 b=4.8040 c=10.0969 alpha=90.00 beta=90.00 gamma=90.00
Closest atoms and distances in Å follow each position.
Space group I-42d (No. 122)
Unique sites:
Al 0.0000 0.0000 0.0000 (multiplicity 4)  4 C 2.00
C 0.2033 0.2500 0.1250 (multiplicity 8)  2 Al 2.00
Br 0.0000 0.0000 0.5000 (multiplicity 4)  4 C 2.25

D(E_F), states/eV per atom: 0.316
Crystal system: tetragonal

no.,raw formation energy (eV/atom)
1,-0.210
2,-0.855
3,-1.037
4,-0.628
5,0.051
6,-0.095
7,-0.301
8,-0.050
9,0.102
10,0.125
11,-0.964
12,1.663